--- i ---
A plane-wave DFT calculation with PBE-GGA was carried out for a geometry-optimized PrGaGePtAu structure.

## Properties
For the total moment, the calculation gives 0.00 μB per formula unit.

```
data_PrGaGePtAu
_chemical_formula_sum 'Pr2 Ga2 Ge2 Pt2 Au2'
_cell_length_a 4.403
_cell_length_b 4.403
_cell_length_c 10.412
_cell_angle_alpha 90.00
_cell_angle_beta 90.00
_cell_angle_gamma 90.00
_symmetry_space_group_name_H-M 'P 1'
_symmetry_Int_Tables_number 1
loop_
_symmetry_equiv_pos_as_xyz
'x,y,z'
loop_
_atom_site_label
_atom_site_type_symbol
_atom_site_fract_x
_atom_site_fract_y
_atom_site_fract_z
_atom_site_occupancy
Au1 Au 0.000 0.000 0.000 1
Au2 Au 0.500 0.500 0.000 1
Ga1 Ga 0.000 0.000 0.500 1
Ga2 Ga 0.500 0.500 0.500 1
Ge1 Ge 0.000 0.500 0.145 1
Ge2 Ge 0.500 0.000 0.855 1
Pr1 Pr 0.500 0.000 0.253 1
Pr2 Pr 0.000 0.500 0.747 1
Pt1 Pt 0.000 0.500 0.377 1
Pt2 Pt 0.500 0.000 0.623 1
```



--- ii ---
A plane-wave DFT calculation with PBE-GGA was carried out for a geometry-optimized PrGaGePtAu structure.

## Properties
For the total moment, the calculation gives 0.01 μB per formula unit.

```
data_PrGaGePtAu
_chemical_formula_sum 'Pr2 Ga2 Ge2 Pt2 Au2'
_cell_length_a 4.373
_cell_length_b 4.373
_cell_length_c 10.562
_cell_angle_alpha 90.00
_cell_angle_beta 90.00
_cell_angle_gamma 90.00
_symmetry_space_group_name_H-M 'P 1'
_symmetry_Int_Tables_number 1
loop_
_symmetry_equiv_pos_as_xyz
'x,y,z'
loop_
_atom_site_label
_atom_site_type_symbol
_atom_site_fract_x
_atom_site_fract_y
_atom_site_fract_z
_atom_site_occupancy
Au1 Au 0.000 0.500 0.364 1
Au2 Au 0.500 0.000 0.636 1
Ga1 Ga 0.000 0.000 0.500 1
Ga2 Ga 0.500 0.500 0.500 1
Ge1 Ge 0.000 0.500 0.124 1
Ge2 Ge 0.500 0.000 0.876 1
Pr1 Pr 0.500 0.000 0.242 1
Pr2 Pr 0.000 0.500 0.758 1
Pt1 Pt 0.000 0.000 0.000 1
Pt2 Pt 0.500 0.500 0.000 1
```



--- iii ---
A plane-wave DFT calculation with PBE-GGA was carried out for a geometry-optimized PrGaGePtAu structure.

## Properties
For the total moment, the calculation gives 0.00 μB per formula unit.

```
data_PrGaGePtAu
_chemical_formula_sum 'Pr2 Ga2 Ge2 Pt2 Au2'
_cell_length_a 4.378
_cell_length_b 4.378
_cell_length_c 10.716
_cell_angle_alpha 90.00
_cell_angle_beta 90.00
_cell_angle_gamma 90.00
_symmetry_space_group_name_H-M 'P 1'
_symmetry_Int_Tables_number 1
loop_
_symmetry_equiv_pos_as_xyz
'x,y,z'
loop_
_atom_site_label
_atom_site_type_symbol
_atom_site_fract_x
_atom_site_fract_y
_atom_site_fract_z
_atom_site_occupancy
Au1 Au 0.000 0.500 0.357 1
Au2 Au 0.500 0.000 0.643 1
Ga1 Ga 0.000 0.500 0.121 1
Ga2 Ga 0.500 0.000 0.879 1
Ge1 Ge 0.000 0.000 0.500 1
Ge2 Ge 0.500 0.500 0.500 1
Pr1 Pr 0.500 0.000 0.239 1
Pr2 Pr 0.000 0.500 0.761 1
Pt1 Pt 0.000 0.000 0.000 1
Pt2 Pt 0.500 0.500 0.000 1
```



Most stable to least stable, the ends of the list are i and iii.